[1]
The following is a DFT calculation (PBE) of a geometry-optimized KTlIn2Cl8 structure.

Calculated values
Formation energy from raw total energies: -1.26 eV per atom
Total moment: 0.00 μB per formula unit
Crystal system: tetragonal

Geometry as POSCAR:
```
KTlIn2Cl8
1.0
-3.5139 3.5139 7.9383
3.5139 -3.5139 7.9383
3.5139 3.5139 -7.9383
K Tl In Cl
1 1 2 8
Direct
0.0000 0.0000 0.0000
0.2500 0.7500 0.5000
0.5000 0.5000 0.0000
0.7500 0.2500 0.5000
0.2631 0.6615 0.0877
0.3385 0.4262 0.6016
0.4244 0.0146 0.1044
0.5738 0.1754 0.9123
0.6800 0.5756 0.5902
0.8246 0.7369 0.3984
0.9102 0.3200 0.8956
0.9854 0.0898 0.4098
```


[2]
The following is a DFT calculation (PBE) of a geometry-optimized KTlIn2Cl4 structure.

Calculated values
Formation energy from raw total energies: -1.14 eV per atom
Total moment: 0.00 μB per formula unit
Crystal system: monoclinic

Geometry as POSCAR:
```
KTlIn2Cl4
1.0
7.8999 0.0000 0.0000
0.0000 4.5552 0.0000
-2.6224 0.0000 7.4571
K Tl In Cl
1 1 2 4
Direct
0.0000 0.0000 0.0000
0.5000 0.5000 0.0000
0.0000 0.5000 0.5000
0.5000 0.0000 0.5000
0.2451 0.0000 0.7511
0.2445 0.5000 0.2468
0.7549 0.0000 0.2489
0.7555 0.5000 0.7532
```


[3]
The following is a DFT calculation (PBE) of a geometry-optimized K2TlInCl4 structure.

Calculated values
Formation energy from raw total energies: -1.43 eV per atom
Total moment: 0.00 μB per formula unit
Crystal system: monoclinic

Geometry as POSCAR:
```
K2TlInCl4
1.0
7.8689 0.0000 0.0000
0.0000 4.5449 0.0000
-2.6277 0.0000 7.4464
K Tl In Cl
2 1 1 4
Direct
0.0000 0.0000 0.0000
0.5000 0.5000 0.0000
0.0000 0.5000 0.5000
0.5000 0.0000 0.5000
0.2490 0.5000 0.2429
0.2537 0.0000 0.7580
0.7463 0.0000 0.2420
0.7510 0.5000 0.7571
```


[4]
The following is a DFT calculation (PBE) of a geometry-optimized KTl2In2Cl6 structure.

Calculated values
Formation energy from raw total energies: -1.09 eV per atom
Total moment: 0.65 μB per formula unit
Crystal system: monoclinic

Geometry as POSCAR:
```
KTl2In2Cl6
1.0
5.9923 -3.9778 0.0000
5.9923 3.9778 0.0000
-4.2803 0.0000 8.1310
K Tl In Cl
1 2 2 6
Direct
0.0000 0.0000 0.0000
0.1966 0.1966 0.6437
0.8034 0.8034 0.3563
0.4460 0.4460 0.3148
0.5540 0.5540 0.6852
0.1673 0.6577 0.6998
0.2726 0.2726 0.0153
0.3423 0.8327 0.3002
0.6577 0.1673 0.6998
0.7274 0.7274 0.9847
0.8327 0.3423 0.3002
```